Entry from Alexandria via LeMat-Bulk: Ac6HIr2Au after structural relaxation (PBE-GGA).

The structure in POSCAR format:
```
Ac6HIr2Au
1.0
3.761 2.172 6.925
-3.761 2.172 6.925
0.000 -4.343 6.925
Ac H Ir Au
6 1 2 1
Direct
0.004 0.330 0.666
0.201 0.826 0.470
0.330 0.666 0.004
0.470 0.201 0.826
0.666 0.004 0.330
0.826 0.470 0.201
0.408 0.408 0.408
0.081 0.081 0.081
0.589 0.589 0.589
0.905 0.905 0.905
```

Output
total DFT energy (no corrections): -5.43 eV per atom
V: 33.93 Å³/atom
theoretical density: 9.52 Mg/m³
total magnetization: 0.0 μB per formula unit

---

Entry from Alexandria via LeMat-Bulk: Ac8HIr3Au4 after structural relaxation (PBE-GGA).

The structure in POSCAR format:
```
Ac8HIr3Au4
1.0
4.380 2.529 7.369
-4.380 2.529 7.369
0.000 -5.058 7.369
Ac H Ir Au
8 1 3 4
Direct
0.234 0.746 0.746
0.241 0.241 0.241
0.254 0.254 0.766
0.254 0.766 0.254
0.746 0.234 0.746
0.746 0.746 0.234
0.759 0.759 0.759
0.766 0.254 0.254
0.500 0.500 0.500
0.000 0.000 0.500
0.000 0.500 0.000
0.500 0.000 0.000
0.000 0.000 0.000
0.000 0.500 0.500
0.500 0.000 0.500
0.500 0.500 0.000
```

Output
total DFT energy (no corrections): -5.47 eV per atom
V: 30.61 Å³/atom
theoretical density: 10.79 Mg/m³
total magnetization: 0.0 μB per formula unit

---

Entry from Alexandria via LeMat-Bulk: LiAcH6Au2 after structural relaxation (PBE-GGA).

The structure in POSCAR format:
```
LiAcH6Au2
1.0
2.579 1.489 5.507
-2.579 1.489 5.507
0.000 -2.977 5.507
Li Ac H Au
1 1 6 2
Direct
0.000 0.000 0.000
0.500 0.500 0.500
0.048 0.627 0.064
0.064 0.048 0.627
0.373 0.936 0.952
0.627 0.064 0.048
0.936 0.952 0.373
0.952 0.373 0.936
0.258 0.258 0.258
0.742 0.742 0.742
```

Output
total DFT energy (no corrections): -3.46 eV per atom
V: 12.68 Å³/atom
theoretical density: 8.30 Mg/m³
total magnetization: 0.0 μB per formula unit

---

Entry from Alexandria via LeMat-Bulk: Ac2NiH6Au after structural relaxation (PBE-GGA).

The structure in POSCAR format:
```
Ac2NiH6Au
1.0
3.929 -3.948 0.000
3.929 3.948 0.000
-3.905 0.000 3.955
Ac Ni H Au
2 1 6 1
Direct
0.249 0.751 0.000
0.751 0.249 0.000
0.000 0.000 0.500
0.206 0.206 0.493
0.208 0.208 0.917
0.209 0.791 0.500
0.791 0.209 0.500
0.792 0.792 0.083
0.794 0.794 0.507
0.500 0.500 0.500
```

Output
total DFT energy (no corrections): -4.11 eV per atom
V: 12.27 Å³/atom
theoretical density: 9.69 Mg/m³
total magnetization: 0.0 μB per formula unit

---

Entry from Alexandria via LeMat-Bulk: AcNi4H6Au after structural relaxation (PBE-GGA).

The structure in POSCAR format:
```
AcNi4H6Au
1.0
4.473 0.000 0.000
-2.237 3.874 0.000
0.000 0.000 6.865
Ac Ni H Au
1 4 6 1
Direct
0.000 0.000 0.000
0.333 0.667 0.323
0.333 0.667 0.677
0.667 0.333 0.323
0.667 0.333 0.677
0.000 0.500 0.185
0.000 0.500 0.815
0.500 0.000 0.185
0.500 0.000 0.815
0.500 0.500 0.185
0.500 0.500 0.815
0.000 0.000 0.500
```

Output
total DFT energy (no corrections): -4.49 eV per atom
V: 9.91 Å³/atom
theoretical density: 9.28 Mg/m³
total magnetization: 0.0 μB per formula unit

---

Entry from Alexandria via LeMat-Bulk: AcH2AuO4 after structural relaxation (PBE-GGA).

The structure in POSCAR format:
```
AcH2AuO4
1.0
5.116 0.000 0.000
0.000 5.705 0.000
0.000 0.000 6.765
Ac H Au O
2 4 2 8
Direct
0.000 0.000 0.000
0.500 0.500 0.500
0.000 0.500 0.190
0.000 0.500 0.810
0.500 0.000 0.310
0.500 0.000 0.690
0.000 0.000 0.500
0.500 0.500 0.000
0.214 0.412 0.799
0.214 0.588 0.201
0.286 0.088 0.299
0.286 0.912 0.701
0.714 0.088 0.701
0.714 0.912 0.299
0.786 0.412 0.201
0.786 0.588 0.799
```

Output
total DFT energy (no corrections): -5.60 eV per atom
V: 12.34 Å³/atom
theoretical density: 8.24 Mg/m³
total magnetization: 0.0 μB per formula unit

---

Entry from Alexandria via LeMat-Bulk: Ac2HAuO6 after structural relaxation (PBE-GGA).

The structure in POSCAR format:
```
Ac2HAuO6
1.0
7.121 0.000 0.000
0.000 4.689 0.000
-4.044 0.000 8.970
Ac H Au O
4 2 2 12
Direct
0.195 0.056 0.215
0.195 0.444 0.715
0.805 0.556 0.285
0.805 0.944 0.785
0.000 0.000 0.500
0.000 0.500 0.000
0.500 0.000 0.000
0.500 0.500 0.500
0.072 0.196 0.460
0.072 0.304 0.960
0.214 0.573 0.340
0.214 0.927 0.840
0.446 0.736 0.646
0.446 0.764 0.146
0.554 0.236 0.854
0.554 0.264 0.354
0.786 0.073 0.160
0.786 0.427 0.660
0.928 0.696 0.040
0.928 0.804 0.540
```

Output
total DFT energy (no corrections): -6.17 eV per atom
V: 14.97 Å³/atom
theoretical density: 8.29 Mg/m³
total magnetization: 2.1 μB per formula unit

---

Entry from Alexandria via LeMat-Bulk: Ac5HOsAu2 after structural relaxation (PBE-GGA).

The structure in POSCAR format:
```
Ac5HOsAu2
1.0
2.156 -9.442 0.000
2.156 9.442 0.000
0.000 0.000 13.709
Ac H Os Au
10 2 2 4
Direct
0.001 0.999 0.500
0.142 0.858 0.756
0.200 0.800 0.110
0.203 0.797 0.406
0.449 0.551 0.742
0.551 0.449 0.242
0.797 0.203 0.906
0.800 0.200 0.610
0.858 0.142 0.256
0.999 0.001 0.000
0.067 0.933 0.151
0.933 0.067 0.651
0.296 0.704 0.758
0.704 0.296 0.258
0.381 0.619 0.072
0.381 0.619 0.439
0.619 0.381 0.572
0.619 0.381 0.939
```

Output
total DFT energy (no corrections): -5.09 eV per atom
V: 31.00 Å³/atom
theoretical density: 10.24 Mg/m³
total magnetization: 0.3 μB per formula unit

---

Entry from Alexandria via LeMat-Bulk: AcHPbAu after structural relaxation (PBE-GGA).

The structure in POSCAR format:
```
AcHPbAu
1.0
7.211 0.000 0.000
0.000 7.211 0.000
0.000 0.000 7.211
Ac H Pb Au
4 4 4 4
Direct
0.000 0.000 0.000
0.000 0.500 0.500
0.500 0.000 0.500
0.500 0.500 0.000
0.250 0.250 0.750
0.250 0.750 0.250
0.750 0.250 0.250
0.750 0.750 0.750
0.000 0.000 0.500
0.000 0.500 0.000
0.500 0.000 0.000
0.500 0.500 0.500
0.250 0.250 0.250
0.250 0.750 0.750
0.750 0.250 0.750
0.750 0.750 0.250
```

Output
total DFT energy (no corrections): -3.95 eV per atom
V: 23.43 Å³/atom
theoretical density: 11.20 Mg/m³
total magnetization: 0.0 μB per formula unit

---

Entry from Alexandria via LeMat-Bulk: AcHPd6Au after structural relaxation (PBE-GGA).

The structure in POSCAR format:
```
AcHPd6Au
1.0
-2.955 4.522 5.775
2.955 -4.522 5.775
2.955 4.522 -5.775
Ac H Pd Au
2 2 12 2
Direct
0.430 0.180 0.250
0.570 0.820 0.750
0.000 0.500 0.500
0.500 0.500 0.000
0.119 0.386 0.266
0.119 0.852 0.732
0.196 0.946 0.250
0.263 0.513 0.750
0.380 0.148 0.766
0.380 0.614 0.232
0.620 0.386 0.768
0.620 0.852 0.234
0.737 0.487 0.250
0.804 0.054 0.750
0.881 0.148 0.268
0.881 0.614 0.734
0.000 0.000 0.500
0.000 0.500 0.000
```

Output
total DFT energy (no corrections): -4.80 eV per atom
V: 17.15 Å³/atom
theoretical density: 11.44 Mg/m³
total magnetization: 0.0 μB per formula unit

---

Entry from Alexandria via LeMat-Bulk: AcHPd2Au2 after structural relaxation (PBE-GGA).

The structure in POSCAR format:
```
AcHPd2Au2
1.0
4.103 0.000 0.000
0.000 4.103 0.000
0.000 0.000 13.978
Ac H Pd Au
2 2 4 4
Direct
0.000 0.000 0.000
0.500 0.500 0.500
0.000 0.000 0.500
0.500 0.500 0.000
0.000 0.000 0.383
0.000 0.000 0.617
0.500 0.500 0.117
0.500 0.500 0.883
0.000 0.500 0.250
0.000 0.500 0.750
0.500 0.000 0.250
0.500 0.000 0.750
```

Output
total DFT energy (no corrections): -4.48 eV per atom
V: 19.61 Å³/atom
theoretical density: 11.78 Mg/m³
total magnetization: 0.0 μB per formula unit

---

Entry from Alexandria via LeMat-Bulk: AcH2Pd2Au after structural relaxation (PBE-GGA).

The structure in POSCAR format:
```
AcH2Pd2Au
1.0
5.361 0.000 0.000
0.000 5.729 0.000
-1.371 0.000 6.380
Ac H Pd Au
2 4 4 2
Direct
0.223 0.250 0.350
0.777 0.750 0.650
0.091 0.250 0.725
0.272 0.750 0.639
0.728 0.250 0.361
0.909 0.750 0.275
0.317 0.007 0.805
0.317 0.493 0.805
0.683 0.507 0.195
0.683 0.993 0.195
0.193 0.750 0.143
0.807 0.250 0.857
```

Output
total DFT energy (no corrections): -4.58 eV per atom
V: 16.33 Å³/atom
theoretical density: 10.83 Mg/m³
total magnetization: 0.0 μB per formula unit

---

Entry from Alexandria via LeMat-Bulk: AcH7Pd2Au after structural relaxation (PBE-GGA).

The structure in POSCAR format:
```
AcH7Pd2Au
1.0
-1.917 1.917 8.108
1.917 -1.917 8.108
1.917 1.917 -8.108
Ac H Pd Au
1 7 2 1
Direct
0.000 0.000 0.000
0.111 0.611 0.500
0.264 0.264 0.000
0.389 0.889 0.500
0.500 0.500 0.000
0.621 0.121 0.500
0.736 0.736 0.000
0.879 0.379 0.500
0.385 0.385 0.000
0.615 0.615 0.000
0.750 0.250 0.500
```

Output
total DFT energy (no corrections): -3.94 eV per atom
V: 10.84 Å³/atom
theoretical density: 8.97 Mg/m³
total magnetization: 0.0 μB per formula unit

---

Entry from Alexandria via LeMat-Bulk: AcHPd3Au after structural relaxation (PBE-GGA).

The structure in POSCAR format:
```
AcHPd3Au
1.0
3.553 -5.354 0.000
3.553 5.354 0.000
0.000 0.000 5.852
Ac H Pd Au
2 2 6 2
Direct
0.241 0.759 0.750
0.759 0.241 0.250
0.493 0.507 0.250
0.507 0.493 0.750
0.308 0.308 0.000
0.308 0.308 0.500
0.316 0.684 0.250
0.684 0.316 0.750
0.692 0.692 0.000
0.692 0.692 0.500
0.069 0.931 0.250
0.931 0.069 0.750
```

Output
total DFT energy (no corrections): -4.88 eV per atom
V: 18.55 Å³/atom
theoretical density: 11.10 Mg/m³
total magnetization: 0.0 μB per formula unit

---

Entry from Alexandria via LeMat-Bulk: AcHPt2Au2 after structural relaxation (PBE-GGA).

The structure in POSCAR format:
```
AcHPt2Au2
1.0
4.039 0.000 0.000
0.000 4.039 0.000
0.000 0.000 14.461
Ac H Pt Au
2 2 4 4
Direct
0.000 0.000 0.000
0.500 0.500 0.500
0.000 0.000 0.500
0.500 0.500 0.000
0.000 0.000 0.384
0.000 0.000 0.616
0.500 0.500 0.116
0.500 0.500 0.884
0.000 0.500 0.250
0.000 0.500 0.750
0.500 0.000 0.250
0.500 0.000 0.750
```

Output
total DFT energy (no corrections): -4.80 eV per atom
V: 19.66 Å³/atom
theoretical density: 14.25 Mg/m³
total magnetization: 0.0 μB per formula unit

---

Entry from Alexandria via LeMat-Bulk: AcH6Pt2Au after structural relaxation (PBE-GGA).

The structure in POSCAR format:
```
AcH6Pt2Au
1.0
3.639 -4.625 0.000
3.639 4.625 0.000
-3.120 0.000 7.924
Ac H Pt Au
2 12 4 2
Direct
0.103 0.897 0.750
0.897 0.103 0.250
0.095 0.717 0.371
0.177 0.222 0.022
0.222 0.177 0.522
0.240 0.563 0.876
0.283 0.905 0.129
0.437 0.760 0.624
0.563 0.240 0.376
0.717 0.095 0.871
0.760 0.437 0.124
0.778 0.823 0.478
0.823 0.778 0.978
0.905 0.283 0.629
0.213 0.379 0.690
0.379 0.213 0.190
0.621 0.787 0.810
0.787 0.621 0.310
0.324 0.676 0.250
0.676 0.324 0.750
```

Output
total DFT energy (no corrections): -4.25 eV per atom
V: 13.34 Å³/atom
theoretical density: 10.21 Mg/m³
total magnetization: 0.0 μB per formula unit

---

Entry from Alexandria via LeMat-Bulk: Ac5HPtAu2 after structural relaxation (PBE-GGA).

The structure in POSCAR format:
```
Ac5HPtAu2
1.0
2.145 -9.633 0.000
2.145 9.633 0.000
0.000 0.000 13.638
Ac H Pt Au
10 2 2 4
Direct
0.001 0.999 0.500
0.139 0.861 0.756
0.192 0.808 0.107
0.198 0.802 0.413
0.457 0.543 0.745
0.543 0.457 0.245
0.802 0.198 0.913
0.808 0.192 0.607
0.861 0.139 0.256
0.999 0.001 0.000
0.066 0.934 0.154
0.934 0.066 0.654
0.297 0.703 0.760
0.703 0.297 0.260
0.377 0.623 0.072
0.379 0.621 0.440
0.621 0.379 0.940
0.623 0.377 0.572
```

Output
total DFT energy (no corrections): -4.75 eV per atom
V: 31.32 Å³/atom
theoretical density: 10.16 Mg/m³
total magnetization: 0.5 μB per formula unit

---

Entry from Alexandria via LeMat-Bulk: AcH8Rh2Au after structural relaxation (PBE-GGA).

The structure in POSCAR format:
```
AcH8Rh2Au
1.0
2.476 1.430 5.727
-2.476 1.430 5.727
0.000 -2.859 5.727
Ac H Rh Au
1 8 2 1
Direct
0.000 0.000 0.000
0.102 0.414 0.855
0.145 0.898 0.586
0.304 0.304 0.304
0.414 0.855 0.102
0.586 0.145 0.898
0.696 0.696 0.696
0.855 0.102 0.414
0.898 0.586 0.145
0.204 0.204 0.204
0.796 0.796 0.796
0.500 0.500 0.500
```

Output
total DFT energy (no corrections): -4.25 eV per atom
V: 10.13 Å³/atom
theoretical density: 8.71 Mg/m³
total magnetization: 0.0 μB per formula unit

---

Entry from Alexandria via LeMat-Bulk: Ac3HRhAu after structural relaxation (PBE-GGA).

The structure in POSCAR format:
```
Ac3HRhAu
1.0
9.029 0.000 0.000
0.000 4.231 0.000
-2.073 0.000 9.200
Ac H Rh Au
6 2 2 2
Direct
0.066 0.250 0.332
0.296 0.250 0.980
0.389 0.750 0.643
0.611 0.250 0.357
0.704 0.750 0.020
0.934 0.750 0.668
0.425 0.750 0.921
0.575 0.250 0.079
0.168 0.250 0.662
0.832 0.750 0.338
0.324 0.750 0.264
0.676 0.250 0.736
```

Output
total DFT energy (no corrections): -5.04 eV per atom
V: 29.29 Å³/atom
theoretical density: 9.28 Mg/m³
total magnetization: 0.0 μB per formula unit

---

Entry from Alexandria via LeMat-Bulk: Ac4HRh2Au after structural relaxation (PBE-GGA).

The structure in POSCAR format:
```
Ac4HRh2Au
1.0
2.157 -7.071 0.000
2.157 7.071 0.000
0.000 0.000 14.904
Ac H Rh Au
8 2 4 2
Direct
0.000 0.000 0.000
0.000 0.000 0.500
0.270 0.730 0.617
0.270 0.730 0.883
0.436 0.564 0.250
0.564 0.436 0.750
0.730 0.270 0.117
0.730 0.270 0.383
0.156 0.844 0.750
0.844 0.156 0.250
0.370 0.630 0.062
0.370 0.630 0.438
0.630 0.370 0.562
0.630 0.370 0.938
0.114 0.886 0.250
0.886 0.114 0.750
```

Output
total DFT energy (no corrections): -5.40 eV per atom
V: 28.41 Å³/atom
theoretical density: 9.58 Mg/m³
total magnetization: 0.0 μB per formula unit